No. 1
Compound: SrSc2Br
Source: Alexandria via LeMat-Bulk
Functional: PBEsol
Structure: optimized geometry

Energy relative to the lowest polymorph listed for this composition, eV/atom: 0.8061
V, Å³ per cell: 433.2
Energy relative to the elements, uncorrected, eV/atom: 0.34

a b c (Å): 7.5664 7.5664 7.5664
angles (deg): 90.00 90.00 90.00
Space group Fm-3m (No. 225)
One atom of each set of equivalent atoms:
Sr1 0.0000 0.0000 0.0000 [4 per cell]
Sc1 0.2500 0.2500 0.2500 [8 per cell]
Br1 0.0000 0.0000 0.5000 [4 per cell]

No. 2
Compound: SrSc2Br
Source: Alexandria via LeMat-Bulk
Functional: PBEsol
Structure: optimized geometry

Energy relative to the lowest polymorph listed for this composition, eV/atom: 0.6389
V, Å³ per cell: 109.4
Energy relative to the elements, uncorrected, eV/atom: 0.17

a b c (Å): 5.5052 5.5052 3.6096
angles (deg): 90.00 90.00 90.00
Space group P4/mmm (No. 123)
One atom of each set of equivalent atoms:
Sr1 0.0000 0.0000 0.0000 [1 per cell]
Sc1 0.0000 0.5000 0.5000 [2 per cell]
Br1 0.5000 0.5000 0.0000 [1 per cell]

No. 3
Compound: SrSc2Br
Source: Alexandria via LeMat-Bulk
Functional: PBEsol
Structure: optimized geometry

Energy relative to the lowest polymorph listed for this composition, eV/atom: 0.0000
V, Å³ per cell: 326.4
Energy relative to the elements, uncorrected, eV/atom: -0.47

a b c (Å): 3.5922 3.5922 29.2095
angles (deg): 90.00 90.00 120.00
Space group R3m (No. 160, hexagonal axes)
One atom of each set of equivalent atoms:
Sr1 0.0000 0.0000 0.0000 [3 per cell]
Sc1 0.0000 0.0000 0.2317 [3 per cell]
Sc2 0.0000 0.0000 0.4848 [3 per cell]
Br1 0.0000 0.0000 0.7508 [3 per cell]

No. 4
Compound: ScTaBr2
Source: Alexandria via LeMat-Bulk
Functional: PBEsol
Structure: optimized geometry

Energy relative to the lowest polymorph listed for this composition, eV/atom: 0.4148
V, Å³ per cell: 163.9
Energy relative to the elements, uncorrected, eV/atom: -0.03

a b c (Å): 3.0945 5.8646 9.0295
angles (deg): 90.00 90.00 90.00
Space group Cmmm (No. 65)
One atom of each set of equivalent atoms:
Sc1 0.0000 0.0000 0.0000 [2 per cell]
Ta1 0.0000 0.0000 0.5000 [2 per cell]
Br1 0.0000 0.5000 0.2575 [4 per cell]

No. 5
Compound: ScTaBr2
Source: Alexandria via LeMat-Bulk
Functional: PBEsol
Structure: optimized geometry

Energy relative to the lowest polymorph listed for this composition, eV/atom: 0.3533
V, Å³ per cell: 231.0
Energy relative to the elements, uncorrected, eV/atom: -0.09

a b c (Å): 3.1781 3.1781 26.4062
angles (deg): 90.00 90.00 120.00
Space group R-3m (No. 166, hexagonal axes)
One atom of each set of equivalent atoms:
Sc1 0.0000 0.0000 0.0000 [3 per cell]
Ta1 0.0000 0.0000 0.5000 [3 per cell]
Br1 0.0000 0.0000 0.2465 [6 per cell]

No. 6
Compound: ScTa2Br
Source: Alexandria via LeMat-Bulk
Functional: PBEsol
Structure: optimized geometry

Energy relative to the lowest polymorph listed for this composition, eV/atom: 0.1519
V, Å³ per cell: 75.6
Energy relative to the elements, uncorrected, eV/atom: 0.36

a b c (Å): 3.8379 3.8379 5.1299
angles (deg): 90.00 90.00 90.00
Space group P4/mmm (No. 123)
One atom of each set of equivalent atoms:
Sc1 0.0000 0.0000 0.0000 [1 per cell]
Ta1 0.0000 0.5000 0.5000 [2 per cell]
Br1 0.5000 0.5000 0.0000 [1 per cell]

No. 7
Compound: ScTaBr2
Source: Alexandria via LeMat-Bulk
Functional: PBEsol
Structure: optimized geometry

Energy relative to the lowest polymorph listed for this composition, eV/atom: 0.0000
V, Å³ per cell: 184.7
Energy relative to the elements, uncorrected, eV/atom: -0.45

a b c (Å): 3.2932 3.6313 15.4440
angles (deg): 90.00 90.00 90.00
Space group Amm2 (No. 38)
One atom of each set of equivalent atoms:
Sc1 0.0000 0.0000 0.0000 [2 per cell]
Ta1 0.5000 0.0000 0.6049 [2 per cell]
Br1 0.0000 0.0000 0.7362 [2 per cell]
Br2 0.5000 0.0000 0.4207 [2 per cell]

No. 8
Compound: ScTa2Br
Source: Alexandria via LeMat-Bulk
Functional: PBEsol
Structure: optimized geometry

Energy relative to the lowest polymorph listed for this composition, eV/atom: 0.0000
V, Å³ per cell: 149.7
Energy relative to the elements, uncorrected, eV/atom: 0.21

a b c (Å): 10.4410 3.1536 4.6380
angles (deg): 90.00 101.42 90.00
Space group C2/m (No. 12)
One atom of each set of equivalent atoms:
Sc1 0.0000 0.0000 0.0000 [2 per cell]
Ta1 0.2430 0.0000 0.7507 [4 per cell]
Br1 0.0000 0.5000 0.5000 [2 per cell]

No. 9
Compound: ScTaBr3
Source: Alexandria via LeMat-Bulk
Functional: PBEsol
Structure: optimized geometry

V, Å³ per cell: 129.8
Energy relative to the elements, uncorrected, eV/atom: 0.23

a b c (Å): 5.0637 5.0637 5.0637
angles (deg): 90.00 90.00 90.00
Space group Pm-3m (No. 221)
One atom of each set of equivalent atoms:
Sc1 0.0000 0.0000 0.0000 [1 per cell]
Ta1 0.5000 0.5000 0.5000 [1 per cell]
Br1 0.0000 0.5000 0.5000 [3 per cell]

No. 10
Compound: ScTa2Br
Source: Alexandria via LeMat-Bulk
Functional: PBEsol
Structure: optimized geometry

Energy relative to the lowest polymorph listed for this composition, eV/atom: 0.2477
V, Å³ per cell: 152.1
Energy relative to the elements, uncorrected, eV/atom: 0.46

a b c (Å): 5.3043 9.4939 3.0203
angles (deg): 90.00 90.00 90.00
Space group Cmmm (No. 65)
One atom of each set of equivalent atoms:
Sc1 0.0000 0.0000 0.0000 [2 per cell]
Ta1 0.2500 0.2500 0.5000 [4 per cell]
Br1 0.0000 0.5000 0.0000 [2 per cell]

No. 11
Compound: ScTcBr
Source: Alexandria via LeMat-Bulk
Functional: PBEsol
Structure: optimized geometry

V, Å³ per cell: 107.7
Energy relative to the elements, uncorrected, eV/atom: 0.17

a b c (Å): 3.4010 3.4010 9.3119
angles (deg): 90.00 90.00 90.00
Space group I4mm (No. 107)
One atom of each set of equivalent atoms:
Sc1 0.0000 0.0000 0.0000 [2 per cell]
Tc1 0.0000 0.0000 0.3728 [2 per cell]
Br1 0.0000 0.0000 0.6626 [2 per cell]

No. 12
Compound: ScTcBr2
Source: Alexandria via LeMat-Bulk
Functional: PBEsol
Structure: optimized geometry

Energy relative to the lowest polymorph listed for this composition, eV/atom: 0.1356
V, Å³ per cell: 78.4
Energy relative to the elements, uncorrected, eV/atom: 0.07

a b c (Å): 3.1531 4.3369 5.7351
angles (deg): 90.00 90.00 90.00
Space group Pmmm (No. 47)
One atom of each set of equivalent atoms:
Sc1 0.0000 0.0000 0.0000 [1 per cell]
Tc1 0.5000 0.0000 0.5000 [1 per cell]
Br1 0.0000 0.5000 0.5000 [1 per cell]
Br2 0.5000 0.5000 0.0000 [1 per cell]

No. 13
Compound: Sc2TcBr
Source: Alexandria via LeMat-Bulk
Functional: PBEsol
Structure: optimized geometry

V, Å³ per cell: 230.7
Energy relative to the elements, uncorrected, eV/atom: -0.53

a b c (Å): 3.3307 3.3307 24.0138
angles (deg): 90.00 90.00 120.00
Space group R-3m (No. 166, hexagonal axes)
One atom of each set of equivalent atoms:
Sc1 0.0000 0.0000 0.2431 [6 per cell]
Tc1 0.0000 0.0000 0.5000 [3 per cell]
Br1 0.0000 0.0000 0.0000 [3 per cell]

No. 14
Compound: ScTcBr2
Source: Alexandria via LeMat-Bulk
Functional: PBEsol
Structure: optimized geometry

Energy relative to the lowest polymorph listed for this composition, eV/atom: 0.0000
V, Å³ per cell: 234.8
Energy relative to the elements, uncorrected, eV/atom: -0.07

a b c (Å): 3.2179 3.2179 26.1823
angles (deg): 90.00 90.00 120.00
Space group R-3m (No. 166, hexagonal axes)
One atom of each set of equivalent atoms:
Sc1 0.0000 0.0000 0.0000 [3 per cell]
Tc1 0.0000 0.0000 0.5000 [3 per cell]
Br1 0.0000 0.0000 0.4062 [6 per cell]

No. 15
Compound: ScTcBr2
Source: Alexandria via LeMat-Bulk
Functional: PBEsol
Structure: optimized geometry

Energy relative to the lowest polymorph listed for this composition, eV/atom: 0.1198
V, Å³ per cell: 158.6
Energy relative to the elements, uncorrected, eV/atom: 0.05

a b c (Å): 6.2141 8.6413 3.5388
angles (deg): 90.00 123.43 90.00
Space group C2/m (No. 12)
One atom of each set of equivalent atoms:
Sc1 0.0000 0.0000 0.0000 [2 per cell]
Tc1 0.0000 0.5000 0.0000 [2 per cell]
Br1 0.2500 0.2500 0.0000 [4 per cell]

no.,total moment (μB/cell),VASP energy (eV per atom)
1,0.0,-3.8944
2,0.0,-4.0617
3,0.0,-4.7005
4,0.0,-5.7567
5,0.0,-5.8182
6,0.0,-8.0350
7,0.0,-6.1715
8,0.0,-8.1869
9,2.0,-4.7234
10,0.0,-7.9392
11,0.0,-6.4146
12,1.6,-5.3336
13,0.0,-7.1192
14,3.2,-5.4692
15,2.4,-5.3494